4
Lattice="-3.548 1.914 1.425 -3.697 -0.527 -2.083 -3.129 -2.329 1.753" Properties=species:S:1:pos:R:3 comment="GaFe2Pb, single point on PBEsol structure, DFT SCAN" ef_ev_per_atom=0.71 rho_kg_m3=11672 magmom_total_mub_per_fu=0.00 pbc="T T T"
Fe -7.781 -0.706 0.821
Fe -2.594 -0.235 0.274
Pb -5.187 -0.471 0.548
Ga 0.000 0.000 0.000

---

24
Lattice="5.939 0.000 0.000 0.000 9.966 0.000 0.000 -4.983 8.631" Properties=species:S:1:pos:R:3 comment="Pr3GaFeS7, single point on PBEsol structure, DFT SCAN" rho_kg_m3=5023 magmom_total_mub_per_fu=4.00 formation_energy_uncorrected_ev_per_atom=-1.74 pbc="T T T"
S 4.492 1.622 1.213
S 1.523 3.361 7.418
S 2.850 4.695 0.798
S 2.973 0.000 5.754
S 0.003 4.983 2.877
S 4.492 8.105 0.798
S 4.492 5.223 6.620
S 5.820 1.656 4.464
S 5.820 0.289 7.833
S 2.850 3.327 4.167
S 1.523 -0.239 2.011
S 2.850 6.928 3.667
S 5.820 -1.945 4.964
S 1.523 -3.122 7.833
Pr 4.205 -1.987 7.369
Pr 4.205 -0.405 3.226
Pr 1.235 2.591 1.963
Pr 4.205 2.392 6.668
Pr 1.235 5.388 5.405
Pr 1.235 6.970 1.262
Fe 5.925 0.000 0.000
Fe 2.955 0.000 0.000
Ga 0.754 0.000 5.754
Ga 3.724 4.983 2.877

---

5
Lattice="4.525 0.000 0.000 0.000 4.525 0.000 0.000 0.000 4.525" Properties=species:S:1:pos:R:3 comment="GaFePt3, single point on PBEsol structure, DFT SCAN" ef_ev_per_atom=0.88 rho_kg_m3=12743 magmom_total_mub_per_fu=3.40 pbc="T T T"
Pt 0.000 0.000 2.262
Pt 2.262 0.000 0.000
Pt 0.000 2.262 0.000
Ga 2.262 2.262 2.262
Fe 0.000 0.000 0.000

---

5
Lattice="-0.908 0.391 6.507 -2.181 -6.210 0.069 6.143 -2.147 0.986" Properties=species:S:1:pos:R:3 comment="Rb3GaFe, single point on PBEsol structure, DFT SCAN" ef_ev_per_atom=0.87 rho_kg_m3=2225 magmom_total_mub_per_fu=3.54 pbc="T T T"
Rb -1.090 -3.105 0.034
Rb -0.454 0.195 3.254
Rb 3.072 -1.073 0.493
Fe 1.527 -3.983 3.781
Ga 0.000 0.000 0.000

---

5
Lattice="3.345 0.000 0.000 0.000 3.345 0.000 -1.673 -1.673 5.963" Properties=species:S:1:pos:R:3 comment="Ga2Fe2Re, single point on PBEsol structure, DFT SCAN" ef_ev_per_atom=0.52 rho_kg_m3=10884 magmom_total_mub_per_fu=4.28 pbc="T T T"
Ga 1.673 0.000 2.981
Ga 0.000 1.673 2.981
Fe 1.673 1.673 1.150
Fe 0.000 0.000 4.813
Re 0.000 0.000 0.000

---

5
Lattice="4.474 0.000 0.000 0.000 4.474 0.000 0.000 0.000 4.474" Properties=species:S:1:pos:R:3 comment="GaFeS3, single point on PBEsol structure, DFT SCAN" rho_kg_m3=4111 magmom_total_mub_per_fu=4.44 formation_energy_uncorrected_ev_per_atom=0.17 pbc="T T T"
S 2.237 0.000 0.000
S 0.000 0.000 2.237
S 0.000 2.237 0.000
Ga 2.237 2.237 2.237
Fe 0.000 0.000 0.000